# 1
# NaCrSi2Ir

NaCrSi2Ir after structural relaxation (PBE, the Alexandria database).

Unit cell a=4.6217 b=4.6217 c=4.3942 alpha=90.00 beta=90.00 gamma=90.00
Atoms (fractional coordinates):
Na 0.0000 0.0000 0.0000
Cr 0.0000 0.0000 0.5000
Si 0.0000 0.5000 0.0000
Si 0.5000 0.0000 0.0000
Ir 0.5000 0.5000 0.5000

Calculated volume ... 93.9 Å³/f.u.
DOS at the Fermi energy ... 0.725 states/eV/atom
Energy ... -0.30779 Ry/atom
Energy relative to the elements, uncorrected ... 1942 meV/atom



# 2
# NaSrCrIr2

NaSrCrIr2 after structural relaxation (PBE, the Alexandria database).

Unit cell a=4.6118 b=4.6118 c=5.0940 alpha=90.00 beta=90.00 gamma=90.00
Atoms (fractional coordinates):
Na 0.0000 0.0000 0.0000
Sr 0.5000 0.5000 0.0000
Cr 0.0000 0.0000 0.5000
Ir 0.0000 0.5000 0.5000
Ir 0.5000 0.0000 0.5000

Energy of formation ... 0.467 eV/atom
Calculated volume ... 108.3 Å³/f.u.
DOS at the Fermi energy ... 0.583 states/eV/atom
Energy ... -0.41175 Ry/atom



# 3
# NbCr4Ir

NbCr4Ir after structural relaxation (PBE, the Alexandria database).

Unit cell a=4.8204 b=4.8204 c=4.8204 alpha=60.00 beta=60.00 gamma=60.00
Atoms (fractional coordinates):
Nb 0.0000 0.0000 0.0000
Cr 0.1189 0.6270 0.6270
Cr 0.6270 0.1189 0.6270
Cr 0.6270 0.6270 0.1189
Cr 0.6270 0.6270 0.6270
Ir 0.2500 0.2500 0.2500

Energy of formation ... -0.076 eV/atom
Calculated volume ... 79.2 Å³/f.u.
DOS at the Fermi energy ... 1.439 states/eV/atom
Energy ... -0.70901 Ry/atom



# 4
# Nb2CrIr

Nb2CrIr after structural relaxation (PBE, the Alexandria database).

Unit cell a=3.1502 b=3.1502 c=6.3317 alpha=90.00 beta=90.00 gamma=90.00
Atoms (fractional coordinates):
Nb 0.0000 0.0000 0.2346
Nb 0.0000 0.0000 0.7654
Cr 0.5000 0.5000 0.0000
Ir 0.5000 0.5000 0.5000

Energy of formation ... -0.214 eV/atom
Calculated volume ... 62.8 Å³/f.u.
DOS at the Fermi energy ... 0.805 states/eV/atom
Relative energy among the computed polymorphs ... 0.00 eV/f.u.
Energy ... -0.72540 Ry/atom



# 5
# NbCr3Ir

NbCr3Ir after structural relaxation (PBE, the Alexandria database).

Unit cell a=4.6050 b=4.6050 c=4.6050 alpha=90.00 beta=90.00 gamma=90.00
Atoms (fractional coordinates):
Nb 0.0000 0.0000 0.0000
Cr 0.0000 0.5000 0.5000
Cr 0.5000 0.0000 0.5000
Cr 0.5000 0.5000 0.0000
Ir 0.5000 0.5000 0.5000

Energy of formation ... 1.335 eV/atom
Calculated volume ... 97.7 Å³/f.u.
DOS at the Fermi energy ... 1.283 states/eV/atom
Relative energy among the computed polymorphs ... 0.00 eV/f.u.
Energy ... -0.60455 Ry/atom



# 6
# NbCrIr2

NbCrIr2 after structural relaxation (PBE, the Alexandria database).

Unit cell a=3.9639 b=3.9639 c=3.8055 alpha=90.00 beta=90.00 gamma=90.00
Atoms (fractional coordinates):
Nb 0.0000 0.0000 0.0000
Cr 0.5000 0.5000 0.0000
Ir 0.0000 0.5000 0.5000
Ir 0.5000 0.0000 0.5000

Energy of formation ... -0.367 eV/atom
Calculated volume ... 59.8 Å³/f.u.
DOS at the Fermi energy ... 0.894 states/eV/atom
Energy ... -0.71444 Ry/atom



# 7
# Nb2CrIr

Nb2CrIr after structural relaxation (PBE, the Alexandria database).

Unit cell a=3.8455 b=3.8455 c=18.9207 alpha=90.00 beta=90.00 gamma=90.00
Atoms (fractional coordinates):
Nb 0.2481 0.2500 0.1250
Nb 0.2500 0.7481 0.3750
Nb 0.2500 0.7519 0.8750
Nb 0.2519 0.2500 0.6250
Nb 0.7481 0.7500 0.6250
Nb 0.7500 0.2481 0.8750
Nb 0.7500 0.2519 0.3750
Nb 0.7519 0.7500 0.1250
Cr 0.0000 0.0000 0.0000
Cr 0.0000 0.5000 0.2500
Cr 0.5000 0.0000 0.7500
Cr 0.5000 0.5000 0.5000
Ir 0.0000 0.0000 0.5000
Ir 0.0000 0.5000 0.7500
Ir 0.5000 0.0000 0.2500
Ir 0.5000 0.5000 0.0000

Energy of formation ... 0.524 eV/atom
Calculated volume ... 69.9 Å³/f.u.
DOS at the Fermi energy ... 0.966 states/eV/atom
Relative energy among the computed polymorphs ... 2.95 eV/f.u.
Energy ... -0.67119 Ry/atom



# 8
# NbCrIr2

NbCrIr2 after structural relaxation (PBE, the Alexandria database).

Unit cell a=3.9149 b=3.9149 c=17.2680 alpha=90.00 beta=90.00 gamma=90.00
Atoms (fractional coordinates):
Nb 0.0000 0.0000 0.0000
Nb 0.0000 0.5000 0.2500
Nb 0.5000 0.0000 0.7500
Nb 0.5000 0.5000 0.5000
Cr 0.0000 0.0000 0.5000
Cr 0.0000 0.5000 0.7500
Cr 0.5000 0.0000 0.2500
Cr 0.5000 0.5000 0.0000
Ir 0.2249 0.2500 0.6250
Ir 0.2500 0.7249 0.8750
Ir 0.2500 0.7751 0.3750
Ir 0.2751 0.2500 0.1250
Ir 0.7249 0.7500 0.1250
Ir 0.7500 0.2249 0.3750
Ir 0.7500 0.2751 0.8750
Ir 0.7751 0.7500 0.6250

Energy of formation ... 0.336 eV/atom
Calculated volume ... 66.2 Å³/f.u.
DOS at the Fermi energy ... 0.827 states/eV/atom
Energy ... -0.66278 Ry/atom



| no. | total moment (μB per cell) |
| --- | --- |
| 1 | 3.85 |
| 2 | 1.63 |
| 3 | 0.00 |
| 4 | 0.00 |
| 5 | 5.73 |
| 6 | 2.18 |
| 7 | 10.57 |
| 8 | 4.88 |